# 1
First-principles (PBE-GGA) data for TiNb2O6 after structural relaxation, as listed in Alexandria via LeMat-Bulk.

abc: 4.709 8.779 8.779
angles: 120.00 90.00 90.00
Fractional positions:
1 Ti 0.504 0.333 0.667
2 Ti 0.000 0.000 0.000
3 Ti 0.496 0.667 0.333
4 Nb 0.000 0.642 0.642
5 Nb 0.500 0.311 0.311
6 Nb 0.000 0.000 0.358
7 Nb 0.500 0.689 0.000
8 Nb 0.500 0.000 0.689
9 Nb 0.000 0.358 0.000
10 O 0.227 0.777 0.885
11 O 0.733 0.559 0.772
12 O 0.263 0.438 0.550
13 O 0.263 0.450 0.888
14 O 0.733 0.213 0.441
15 O 0.227 0.108 0.223
16 O 0.733 0.228 0.787
17 O 0.773 0.892 0.115
18 O 0.263 0.112 0.562
19 O 0.227 0.115 0.892
20 O 0.267 0.787 0.228
21 O 0.737 0.888 0.450
22 O 0.737 0.562 0.112
23 O 0.267 0.772 0.559
24 O 0.773 0.885 0.777
25 O 0.267 0.441 0.213
26 O 0.737 0.550 0.438
27 O 0.773 0.223 0.108

Computed properties:
relative energy among the computed polymorphs = 0.0 meV per atom
calculated volume = 11.642 Å³ per atom
space-group type = P321, No. 150
raw total energy = -81.1 eV per formula unit

=====

# 2
First-principles (PBE-GGA) data for PuZnGa4 after structural relaxation, as listed in Alexandria via LeMat-Bulk.

abc: 5.485 5.485 5.485
angles: 60.00 60.00 60.00
Fractional positions:
1 Zn 0.000 0.000 0.000
2 Ga 0.625 0.625 0.126
3 Ga 0.625 0.126 0.625
4 Ga 0.625 0.625 0.625
5 Ga 0.126 0.625 0.625
6 Pu 0.250 0.250 0.250

Computed properties:
DFT formation energy = -0.53 eV/f.u.
calculated volume = 19.448 Å³ per atom
space-group type = F-43m, No. 216
raw total energy = -28.2 eV per formula unit

=====

# 3
First-principles (PBE-GGA) data for K2HoTmS4 after structural relaxation, as listed in Alexandria via LeMat-Bulk.

abc: 4.017 6.957 7.716
angles: 107.48 90.00 90.00
Fractional positions:
1 K 0.500 0.000 0.500
2 K 0.000 0.500 0.500
3 Ho 0.500 0.500 0.000
4 Tm 0.000 0.000 0.000
5 S 0.500 0.231 0.200
6 S 0.500 0.769 0.800
7 S 0.000 0.265 0.800
8 S 0.000 0.735 0.200

Computed properties:
calculated volume = 25.706 Å³ per atom
space-group type = P2/m, No. 10
raw total energy = -42.9 eV per formula unit

=====

# 4
First-principles (PBE-GGA) data for Ce12Bi5C2 after structural relaxation, as listed in Alexandria via LeMat-Bulk.

abc: 7.085 9.897 9.456
angles: 102.25 90.00 110.97
Fractional positions:
1 Ce 0.998 0.996 0.170
2 Ce 0.059 0.719 0.929
3 Ce 0.660 0.719 0.929
4 Ce 0.033 0.680 0.406
5 Ce 0.647 0.680 0.406
6 Ce 0.505 0.010 0.815
7 Ce 0.495 0.990 0.185
8 Ce 0.967 0.320 0.594
9 Ce 0.353 0.320 0.594
10 Ce 0.941 0.281 0.071
11 Ce 0.340 0.281 0.071
12 Ce 0.002 0.004 0.830
13 Bi 0.326 0.651 0.656
14 Bi 0.310 0.621 0.148
15 Bi 0.000 0.000 0.500
16 Bi 0.690 0.379 0.852
17 Bi 0.674 0.349 0.344
18 C 0.736 0.000 0.000
19 C 0.264 0.000 0.000

Computed properties:
DFT formation energy = -5.30 eV/f.u.
calculated volume = 31.733 Å³ per atom
space-group type = C2/m, No. 12
raw total energy = -114.4 eV per formula unit

=====

# 5
First-principles (PBE-GGA) data for Tb2HPd9 after structural relaxation, as listed in Alexandria via LeMat-Bulk.

abc: 4.153 4.153 11.351
angles: 90.00 90.00 90.00
Fractional positions:
1 Tb 0.000 0.000 0.316
2 Tb 0.000 0.000 0.684
3 H 0.000 0.000 0.000
4 Pd 0.500 0.500 0.000
5 Pd 0.500 0.500 0.322
6 Pd 0.500 0.500 0.678
7 Pd 0.500 0.000 0.140
8 Pd 0.500 0.000 0.500
9 Pd 0.500 0.000 0.860
10 Pd 0.000 0.500 0.140
11 Pd 0.000 0.500 0.500
12 Pd 0.000 0.500 0.860

Computed properties:
calculated volume = 16.319 Å³ per atom
space-group type = P4/mmm, No. 123
raw total energy = -64.3 eV per formula unit

=====

# 6
First-principles (PBE-GGA) data for NbGeSeN2 after structural relaxation, as listed in Alexandria via LeMat-Bulk.

abc: 3.810 3.810 4.970
angles: 90.00 90.00 90.00
Fractional positions:
1 Nb 0.500 0.500 0.500
2 Ge 0.000 0.000 0.000
3 Se 0.000 0.000 0.500
4 N 0.000 0.500 0.000
5 N 0.500 0.000 0.000

Computed properties:
relative energy among the computed polymorphs = 810.1 meV per atom
calculated volume = 14.426 Å³ per atom
space-group type = P4/mmm, No. 123
raw total energy = -29.3 eV per formula unit

=====

# 7
First-principles (PBE-GGA) data for PuUNb2 after structural relaxation, as listed in Alexandria via LeMat-Bulk.

abc: 2.912 2.912 11.284
angles: 82.59 82.59 60.00
Fractional positions:
1 Nb 0.251 0.251 0.248
2 Nb 0.749 0.749 0.752
3 U 0.000 0.000 0.000
4 Pu 0.500 0.500 0.500

Computed properties:
DFT formation energy = 1.57 eV/f.u.
relative energy among the computed polymorphs = 7.1 meV per atom
calculated volume = 20.486 Å³ per atom
space-group type = R-3m, No. 166
raw total energy = -44.2 eV per formula unit

=====

# 8
First-principles (PBE-GGA) data for Mo2OsBr after structural relaxation, as listed in Alexandria via LeMat-Bulk.

abc: 3.019 4.565 4.644
angles: 90.00 90.00 90.00
Fractional positions:
1 Mo 0.000 0.000 0.000
2 Mo 0.500 0.500 0.000
3 Os 0.500 0.000 0.500
4 Br 0.000 0.500 0.500

Computed properties:
relative energy among the computed polymorphs = 503.2 meV per atom
calculated volume = 15.999 Å³ per atom
space-group type = Pmmm, No. 47
raw total energy = -30.7 eV per formula unit

=====

# 9
First-principles (PBE-GGA) data for CaRuPt2 after structural relaxation, as listed in Alexandria via LeMat-Bulk.

abc: 4.960 4.960 5.154
angles: 80.95 80.95 33.18
Fractional positions:
1 Ru 0.750 0.750 0.750
2 Ca 0.250 0.250 0.250
3 Pt 0.010 0.010 0.976
4 Pt 0.490 0.490 0.524

Computed properties:
DFT formation energy = -0.27 eV/f.u.
relative energy among the computed polymorphs = 190.9 meV per atom
calculated volume = 17.115 Å³ per atom
space-group type = C2/m, No. 12
raw total energy = -23.6 eV per formula unit

=====

# 10
First-principles (PBE-GGA) data for LiCdH2O after structural relaxation, as listed in Alexandria via LeMat-Bulk.

abc: 3.359 4.219 3.359
angles: 90.00 90.00 90.00
Fractional positions:
1 H 0.000 0.000 0.500
2 H 0.500 0.000 0.000
3 Li 0.000 0.000 0.000
4 O 0.000 0.500 0.000
5 Cd 0.500 0.500 0.500

Computed properties:
calculated volume = 9.519 Å³ per atom
space-group type = P4/mmm, No. 123
raw total energy = -14.7 eV per formula unit

=====

# 11
First-principles (PBE-GGA) data for Cs2LiCd2 after structural relaxation, as listed in Alexandria via LeMat-Bulk.

abc: 6.225 6.225 8.497
angles: 68.51 68.51 90.00
Fractional positions:
1 Cs 0.750 0.250 0.500
2 Cs 0.250 0.750 0.500
3 Li 0.000 0.000 0.000
4 Cd 0.403 0.403 0.195
5 Cd 0.597 0.597 0.805

Computed properties:
DFT formation energy = 1.10 eV/f.u.
relative energy among the computed polymorphs = 169.9 meV per atom
calculated volume = 56.326 Å³ per atom
space-group type = I4/mmm, No. 139
raw total energy = -4.3 eV per formula unit

=====

# 12
First-principles (PBE-GGA) data for Mn3P after structural relaxation, as listed in Alexandria via LeMat-Bulk.

abc: 4.633 4.633 4.633
angles: 145.83 129.71 62.21
Fractional positions:
1 Mn 0.272 0.272 0.000
2 Mn 0.728 0.728 0.000
3 Mn 0.000 0.500 0.500
4 P 0.500 0.000 0.500

Computed properties:
DFT formation energy = -0.93 eV/f.u.
calculated volume = 10.630 Å³ per atom
space-group type = Immm, No. 71
raw total energy = -33.8 eV per formula unit